# TlPAuO

A relaxed TlPAuO crystal (PBE, OQMD via LeMat-Bulk).

Computed properties:
As for the mass density: 9.03 g cm⁻³. Its symmetry is Pmc2_1, No. 26. For the total energy, the calculation gives -3.9394 eV/atom. The value obtained for the energy above the most stable polymorph in this dataset is 76 meV/atom.

Cell: 4.104 7.075 5.678 Å, 90.00 90.00 90.00°
Fractional positions:
Tl (0.000, 0.185, 0.000)
Tl (0.000, 0.815, 0.500)
P (0.500, 0.378, 0.843)
P (0.500, 0.622, 0.343)
Au (0.500, 0.300, 0.427)
Au (0.500, 0.700, 0.927)
O (0.000, 0.114, 0.392)
O (0.000, 0.886, 0.892)